Entry 1:
An optimized crystal structure of Rb2InAuI6. Source: Alexandria via LeMat-Bulk, functional PBE.

Computed properties:
Its energy relative to the elements, uncorrected is -0.82 eV/atom. The offset from the most stable computed form comes out at 0 meV/atom.

Geometry as POSCAR:
```
Rb2InAuI6
1.0
-6.778 2.545 -6.328
-7.608 2.256 2.971
-1.074 7.860 1.279
In Au I Rb
1 1 6 2
Cartesian
-3.670 2.062 -0.249
-11.944 9.735 -0.562
-11.050 5.954 -4.232
-5.753 7.372 1.125
-8.508 4.186 2.438
-9.374 9.503 -0.589
-4.455 3.762 -2.283
-6.897 7.785 -3.495
-8.593 5.360 -1.331
-2.203 6.082 -0.059
```

Entry 2:
An optimized crystal structure of Rb2InAuI. Source: Alexandria via LeMat-Bulk, functional PBE.

Computed properties:
Its energy relative to the elements, uncorrected is -0.53 eV/atom.

Geometry as POSCAR:
```
Rb2InAuI
1.0
6.698 0.000 0.000
0.000 6.698 0.000
0.000 0.000 5.245
Au Rb In I
1 2 1 1
Cartesian
0.000 0.000 0.000
0.000 3.349 0.000
3.349 0.000 0.000
0.000 0.000 2.623
3.349 3.349 2.623
```

Entry 3:
An optimized crystal structure of InSbAuI2. Source: Alexandria via LeMat-Bulk, functional PBE.

Computed properties:
Its energy relative to the elements, uncorrected is 0.18 eV/atom. The offset from the most stable computed form comes out at 0 meV/atom.

Geometry as POSCAR:
```
InSbAuI2
1.0
-3.284 -4.555 -1.755
2.997 -3.551 3.608
-3.516 1.022 3.928
Sb I Au In
1 2 1 1
Cartesian
-1.758 0.511 1.964
-1.642 -2.277 -0.877
1.499 -1.776 1.804
0.000 0.000 0.000
-1.902 -3.542 2.890
```

Entry 4:
An optimized crystal structure of Sc2InAuI. Source: Alexandria via LeMat-Bulk, functional PBE.

Computed properties:
Its energy relative to the elements, uncorrected is 0.22 eV/atom.

Geometry as POSCAR:
```
Sc2InAuI
1.0
5.522 0.000 0.000
0.000 5.109 0.000
0.000 0.000 5.522
Sc I Au In
2 1 1 1
Cartesian
0.000 0.000 2.761
2.761 0.000 0.000
2.761 2.555 2.761
0.000 2.555 0.000
0.000 0.000 0.000
```

Entry 5:
An optimized crystal structure of InTcAuI2. Source: Alexandria via LeMat-Bulk, functional PBE.

Computed properties:
Its energy relative to the elements, uncorrected is 0.40 eV/atom.

Geometry as POSCAR:
```
InTcAuI2
1.0
5.479 0.000 0.000
0.000 5.300 0.000
0.000 0.000 5.479
In Au I Tc
1 1 2 1
Cartesian
2.740 2.650 2.740
0.000 2.650 0.000
2.740 0.000 0.000
0.000 0.000 2.740
0.000 0.000 0.000
```

Entry 6:
An optimized crystal structure of TiIn2AuI. Source: Alexandria via LeMat-Bulk, functional PBE.

Computed properties:
Its energy relative to the elements, uncorrected is 0.76 eV/atom.

Geometry as POSCAR:
```
TiIn2AuI
1.0
-5.119 0.419 0.409
-0.652 -6.164 -1.856
0.269 -1.509 4.919
In Ti Au I
2 1 1 1
Cartesian
-2.560 0.209 0.204
0.135 -0.755 2.460
-2.751 -3.627 1.736
0.000 0.000 0.000
-0.326 -3.082 -0.928
```

Entry 7:
An optimized crystal structure of Tl2InAuI. Source: Alexandria via LeMat-Bulk, functional PBE.

Computed properties:
Its energy relative to the elements, uncorrected is -0.20 eV/atom.

Geometry as POSCAR:
```
Tl2InAuI
1.0
-4.143 -3.763 -0.947
3.608 -4.246 1.086
-1.375 0.184 5.287
In I Au Tl
1 1 1 2
Cartesian
-0.688 0.092 2.644
-0.955 -3.913 2.713
0.000 0.000 0.000
-2.072 -1.882 -0.473
1.804 -2.123 0.543
```

Entry 8:
An optimized crystal structure of TlIn2AuI. Source: Alexandria via LeMat-Bulk, functional PBE.

Computed properties:
Its energy relative to the elements, uncorrected is -0.20 eV/atom.

Geometry as POSCAR:
```
TlIn2AuI
1.0
5.477 0.000 0.000
0.000 5.477 0.000
0.000 0.000 5.694
In Au I Tl
2 1 1 1
Cartesian
0.000 2.738 0.000
2.738 0.000 0.000
0.000 0.000 0.000
2.738 2.738 2.847
0.000 0.000 2.847
```